1.
A relaxed structure of Ca2BeAu, computed with PBE.

abc: 3.5666 3.5675 7.2539
angles: 90.00 90.00 90.00
Positions (direct):
Ca 0.0000 0.0000 0.5052
Be 0.5000 0.5000 0.7500
Ca 0.0000 0.0000 0.9948
Au 0.5000 0.5000 0.2500

Calculated values
Formation enthalpy at 0 K   -0.1808 eV per atom
Magnetization   0.0 μB/f.u.
Electronic total energy   -2.932 eV per atom
Crystal system   tetragonal



2.
A relaxed structure of Ca2BeAu6, computed with PBE.

abc: 6.3168 6.3168 6.3168
angles: 60.00 60.00 60.00
Positions (direct):
Au 0.2630 0.7370 0.7370
Ca 0.7500 0.7500 0.7500
Au 0.7370 0.2630 0.7370
Au 0.2630 0.7370 0.2630
Au 0.7370 0.7370 0.2630
Be 0.0000 0.0000 0.0000
Au 0.2630 0.2630 0.7370
Au 0.7370 0.2630 0.2630
Ca 0.2500 0.2500 0.2500

Calculated values
Formation enthalpy at 0 K   -0.5351 eV per atom
Magnetization   0.0 μB/f.u.
Electronic total energy   -3.579 eV per atom
Crystal system   cubic



3.
A relaxed structure of CaBeAu3, computed with PBE.

abc: 4.3344 4.3333 5.9920
angles: 68.71 68.70 89.77
Positions (direct):
Ca 0.3964 0.1999 0.9121
Au 0.8169 0.6204 0.0711
Be 0.0351 0.8387 0.6352
Au 0.6295 0.9333 0.4464
Au 0.1298 0.4330 0.4464

Calculated values
Formation enthalpy at 0 K   -0.4897 eV per atom
Magnetization   0.0 μB/f.u.
Electronic total energy   -3.602 eV per atom
Crystal system   orthorhombic



4.
A relaxed structure of CaBe2Au2, computed with PBE.

abc: 7.3446 7.3446 2.9170
angles: 90.00 90.00 90.00
Positions (direct):
Ca 0.5000 0.5000 0.0000
Be 0.1130 0.3870 0.0000
Be 0.8870 0.6130 0.0000
Au 0.8253 0.3253 0.5000
Au 0.6747 0.8253 0.5000
Be 0.6130 0.1130 0.0000
Ca 0.0000 0.0000 0.0000
Au 0.1747 0.6747 0.5000
Be 0.3870 0.8870 0.0000
Au 0.3253 0.1747 0.5000

Calculated values
Formation enthalpy at 0 K   -0.1947 eV per atom
Magnetization   0.0 μB/f.u.
Electronic total energy   -3.396 eV per atom
Crystal system   tetragonal



5.
A relaxed structure of CaBe2Au3, computed with PBE.

abc: 5.2266 6.4530 6.4530
angles: 102.66 90.00 90.00
Positions (direct):
Be 0.5000 0.7977 0.2023
Ca 0.7500 0.6706 0.6706
Au 0.7500 0.0539 0.0539
Au 0.2500 0.5050 0.8879
Au 0.2500 0.8879 0.5050
Au 0.7500 0.4950 0.1121
Ca 0.2500 0.3294 0.3294
Au 0.2500 0.9461 0.9461
Be 0.5000 0.2023 0.7977
Au 0.7500 0.1121 0.4950
Be 0.0000 0.2023 0.7977
Be 0.0000 0.7977 0.2023

Calculated values
Formation enthalpy at 0 K   -0.4136 eV per atom
Magnetization   0.0 μB/f.u.
Electronic total energy   -3.628 eV per atom
Crystal system   orthorhombic



6.
A relaxed structure of CaBeAu4, computed with PBE.

abc: 5.5438 5.5438 5.5438
angles: 60.00 60.00 60.00
Positions (direct):
Au 0.3753 0.8740 0.3753
Au 0.3753 0.3753 0.8740
Be 0.7500 0.7500 0.7500
Ca 0.0000 0.0000 0.0000
Au 0.8740 0.3753 0.3753
Au 0.3753 0.3753 0.3753

Calculated values
Formation enthalpy at 0 K   -0.0772 eV per atom
Magnetization   0.0 μB/f.u.
Electronic total energy   -3.217 eV per atom
Crystal system   cubic



7.
A relaxed structure of CaBeAu3, computed with PBE.

abc: 5.4337 5.4337 5.4337
angles: 90.00 90.00 90.00
Positions (direct):
Au 0.0000 0.0000 0.5000
Be 0.5000 0.5000 0.5000
Ca 0.0000 0.0000 0.0000
Au 0.0000 0.5000 0.0000
Au 0.5000 0.0000 0.0000

Calculated values
Formation enthalpy at 0 K   1.0207 eV per atom
Magnetization   0.0 μB/f.u.
Electronic total energy   -2.091 eV per atom
Crystal system   cubic



8.
A relaxed structure of Ca2BeAu, computed with PBE.

abc: 5.8457 5.8457 5.0215
angles: 64.74 64.74 37.85
Positions (direct):
Au 0.5622 0.5622 0.4383
Ca 0.9772 0.9772 0.0232
Ca 0.7733 0.7733 0.7266
Be 0.1873 0.1873 0.3119

Calculated values
Formation enthalpy at 0 K   -0.2217 eV per atom
Magnetization   0.0 μB/f.u.
Electronic total energy   -2.973 eV per atom
Crystal system   monoclinic



9.
A relaxed structure of CaBe2Au2, computed with PBE.

abc: 3.9852 3.9852 6.1634
angles: 71.14 71.14 90.00
Positions (direct):
Ca 0.0000 0.0000 0.0000
Be 0.7500 0.2500 0.5000
Be 0.2500 0.7500 0.5000
Au 0.6333 0.6333 0.7334
Au 0.3667 0.3667 0.2666

Calculated values
Formation enthalpy at 0 K   -0.3640 eV per atom
Magnetization   0.0 μB/f.u.
Electronic total energy   -3.566 eV per atom
Crystal system   tetragonal



10.
A relaxed structure of CaBeAu2, computed with PBE.

abc: 4.4772 4.4772 3.7611
angles: 90.00 90.00 90.00
Positions (direct):
Ca 0.0000 0.5000 0.5000
Au 0.5000 0.5000 0.0000
Au 0.0000 0.0000 0.0000
Be 0.5000 0.0000 0.5000

Calculated values
Formation enthalpy at 0 K   -0.1452 eV per atom
Magnetization   0.0 μB/f.u.
Electronic total energy   -3.216 eV per atom
Crystal system   tetragonal



11.
A relaxed structure of CaBe4Au8, computed with PBE.

abc: 5.3013 6.8056 6.8056
angles: 81.27 67.08 67.08
Positions (direct):
Be 0.0000 0.5000 0.0000
Be 0.5000 0.0000 0.5000
Au 0.5000 0.2240 0.7760
Au 0.3270 0.6730 0.6730
Ca 0.0000 0.0000 0.0000
Be 0.0000 0.0000 0.5000
Au 0.6730 0.3270 0.3270
Au 0.2760 0.2240 0.2240
Be 0.5000 0.5000 0.0000
Au 0.7240 0.7760 0.7760
Au 0.0000 0.6730 0.3270
Au 0.5000 0.7760 0.2240
Au 0.0000 0.3270 0.6730

Calculated values
Formation enthalpy at 0 K   -0.2439 eV per atom
Magnetization   0.0 μB/f.u.
Electronic total energy   -3.561 eV per atom
Crystal system   tetragonal



12.
A relaxed structure of Ca2BeAu, computed with PBE.

abc: 7.8657 7.8657 6.5443
angles: 53.06 53.06 90.00
Positions (direct):
Ca 0.6224 0.1250 0.2500
Au 0.0000 0.0000 0.0000
Ca 0.3750 0.3776 0.7500
Au 0.7500 0.2500 0.5000
Ca 0.8750 0.8724 0.7500
Be 0.2500 0.7500 0.5000
Ca 0.1276 0.6250 0.2500
Be 0.5000 0.5000 0.0000

Calculated values
Formation enthalpy at 0 K   0.1636 eV per atom
Magnetization   0.0 μB/f.u.
Electronic total energy   -2.588 eV per atom
Crystal system   tetragonal



13.
A relaxed structure of CaBeAu, computed with PBE.

abc: 4.4496 4.4496 4.4496
angles: 60.00 60.00 60.00
Positions (direct):
Be 0.7500 0.7500 0.7500
Ca 0.0000 0.0000 0.0000
Au 0.5000 0.5000 0.5000

Calculated values
Formation enthalpy at 0 K   -0.0196 eV per atom
Magnetization   0.0 μB/f.u.
Electronic total energy   -3.021 eV per atom
Crystal system   cubic



14.
A relaxed structure of Ca2BeAu, computed with PBE.

abc: 4.0571 4.5071 5.8623
angles: 67.31 90.00 90.00
Positions (direct):
Ca 0.0000 0.9780 0.9188
Ca 0.5000 0.2693 0.3365
Au 0.0000 0.6795 0.5161
Be 0.5000 0.5733 0.7286

Calculated values
Formation enthalpy at 0 K   -0.3192 eV per atom
Magnetization   0.0 μB/f.u.
Electronic total energy   -3.071 eV per atom
Crystal system   monoclinic



15.
A relaxed structure of Ca2BeAu, computed with PBE.

abc: 4.1927 4.1927 7.5674
angles: 73.87 73.87 60.12
Positions (direct):
Be 0.2500 0.2500 0.2500
Ca 0.4998 0.4998 0.5007
Au 0.7500 0.7500 0.7500
Ca 0.0002 0.0002 0.9993

Calculated values
Formation enthalpy at 0 K   0.0140 eV per atom
Magnetization   0.0 μB/f.u.
Electronic total energy   -2.738 eV per atom
Crystal system   monoclinic



16.
A relaxed structure of Ca2BeAu, computed with PBE.

abc: 4.0706 4.0758 6.2023
angles: 90.00 90.00 90.00
Positions (direct):
Ca 0.5000 0.5000 0.3209
Ca 0.0000 0.0000 0.9321
Au 0.0000 0.0000 0.4520
Be 0.5000 0.5000 0.7950

Calculated values
Formation enthalpy at 0 K   0.0031 eV per atom
Magnetization   0.0 μB/f.u.
Electronic total energy   -2.749 eV per atom
Crystal system   tetragonal



17.
A relaxed structure of Ca2BeAu, computed with PBE.

abc: 7.7654 7.7654 7.7654
angles: 30.87 30.87 30.87
Positions (direct):
Be 0.7919 0.7919 0.7919
Ca 0.0357 0.0357 0.0357
Ca 0.2142 0.2142 0.2142
Au 0.4582 0.4582 0.4582

Calculated values
Formation enthalpy at 0 K   -0.3333 eV per atom
Magnetization   0.0 μB/f.u.
Electronic total energy   -3.085 eV per atom
Crystal system   trigonal



18.
A relaxed structure of CaBe4Au, computed with PBE.

abc: 4.7698 4.7698 4.7698
angles: 60.00 60.00 60.00
Positions (direct):
Be 0.1153 0.6282 0.6282
Be 0.6282 0.1153 0.6282
Be 0.6282 0.6282 0.1153
Be 0.6282 0.6282 0.6282
Au 0.0000 0.0000 0.0000
Ca 0.2500 0.2500 0.2500

Calculated values
Formation enthalpy at 0 K   0.0535 eV per atom
Magnetization   0.0 μB/f.u.
Electronic total energy   -3.310 eV per atom
Crystal system   cubic



19.
A relaxed structure of Ca2BeAu7, computed with PBE.

abc: 3.9311 3.9311 13.5414
angles: 90.00 90.00 90.00
Positions (direct):
Ca 0.5000 0.0000 0.7568
Au 0.5000 0.5000 0.5000
Au 0.0000 0.0000 0.5000
Au 0.0000 0.0000 0.0000
Au 0.0000 0.5000 0.6572
Ca 0.0000 0.5000 0.2432
Au 0.5000 0.0000 0.3428
Au 0.5000 0.0000 0.1405
Be 0.5000 0.5000 0.0000
Au 0.0000 0.5000 0.8595

Calculated values
Formation enthalpy at 0 K   -0.3541 eV per atom
Magnetization   0.0 μB/f.u.
Electronic total energy   -3.421 eV per atom
Crystal system   tetragonal



20.
A relaxed structure of CaBeCd2Au5, computed with PBE.

abc: 4.6046 6.0153 7.9013
angles: 112.37 106.94 90.00
Positions (direct):
Ca 0.0000 0.5000 0.0000
Au 0.6207 0.3865 0.2414
Cd 0.2038 0.2038 0.4077
Cd 0.7962 0.7962 0.5923
Au 0.3793 0.1451 0.7586
Be 0.5000 0.0000 0.0000
Au 0.3793 0.6135 0.7586
Au 0.6207 0.8549 0.2414
Au 0.0000 0.0000 0.0000

Calculated values
Formation enthalpy at 0 K   -0.2872 eV per atom
Magnetization   0.0 μB/f.u.
Electronic total energy   -2.948 eV per atom
Crystal system   orthorhombic



21.
A relaxed structure of CaBeCdAu2, computed with PBE.

abc: 4.6522 4.6522 4.6639
angles: 90.00 90.00 90.00
Positions (direct):
Be 0.0000 0.0000 0.0000
Ca 0.5000 0.5000 0.5000
Cd 0.0000 0.0000 0.5000
Au 0.5000 0.0000 0.0000
Au 0.0000 0.5000 0.0000

Calculated values
Formation enthalpy at 0 K   -0.3054 eV per atom
Magnetization   0.0 μB/f.u.
Electronic total energy   -2.945 eV per atom
Crystal system   tetragonal



22.
A relaxed structure of CaBeCu2Au5, computed with PBE.

abc: 4.5104 5.7112 7.5492
angles: 112.23 107.38 90.00
Positions (direct):
Be 0.5000 0.0000 0.0000
Au 0.6440 0.3976 0.2880
Au 0.6440 0.8904 0.2880
Au 0.3560 0.1096 0.7120
Cu 0.8081 0.8081 0.6163
Au 0.3560 0.6024 0.7120
Ca 0.0000 0.5000 0.0000
Cu 0.1919 0.1919 0.3837
Au 0.0000 0.0000 0.0000

Calculated values
Formation enthalpy at 0 K   -0.1582 eV per atom
Magnetization   0.0 μB/f.u.
Electronic total energy   -3.526 eV per atom
Crystal system   orthorhombic



23.
A relaxed structure of CaBeCu2Au4, computed with PBE.

abc: 4.4395 4.4395 8.5010
angles: 74.86 74.86 60.00
Positions (direct):
Cu 0.7542 0.7542 0.7375
Cu 0.2458 0.2458 0.2625
Au 0.1344 0.1344 0.5968
Au 0.4036 0.4036 0.7892
Au 0.5964 0.5964 0.2108
Au 0.8656 0.8656 0.4032
Be 0.5000 0.5000 0.5000
Ca 0.0000 0.0000 0.0000

Calculated values
Formation enthalpy at 0 K   -0.2342 eV per atom
Magnetization   0.0 μB/f.u.
Electronic total energy   -3.613 eV per atom
Crystal system   trigonal



24.
A relaxed structure of Ca2BeCuAu6, computed with PBE.

abc: 6.3064 7.0229 7.2109
angles: 52.42 63.13 89.53
Positions (direct):
Au 0.7451 0.7760 0.5208
Au 0.7983 0.7580 0.9272
Au 0.2670 0.7535 0.9149
Au 0.2017 0.2420 0.0728
Au 0.2549 0.2240 0.4792
Ca 0.7230 0.2917 0.5460
Cu 0.0000 0.0000 0.0000
Be 0.5000 0.5000 0.0000
Ca 0.2770 0.7083 0.4540
Au 0.7330 0.2465 0.0851

Calculated values
Formation enthalpy at 0 K   -0.4015 eV per atom
Magnetization   0.0 μB/f.u.
Electronic total energy   -3.551 eV per atom
Crystal system   triclinic



25.
A relaxed structure of Ca2Be3CuAu12, computed with PBE.

abc: 7.7956 7.7956 7.7956
angles: 64.56 64.56 64.56
Positions (direct):
Au 0.8766 0.3760 0.8766
Au 0.1000 0.6570 0.6570
Ca 0.3922 0.3922 0.3922
Au 0.1234 0.6240 0.1234
Ca 0.6078 0.6078 0.6078
Au 0.8766 0.8766 0.3760
Au 0.3430 0.3430 0.9000
Au 0.1234 0.1234 0.6240
Be 0.0000 0.0000 0.5000
Au 0.6240 0.1234 0.1234
Au 0.6570 0.6570 0.1000
Au 0.6570 0.1000 0.6570
Be 0.5000 0.0000 0.0000
Cu 0.0000 0.0000 0.0000
Be 0.0000 0.5000 0.0000
Au 0.3760 0.8766 0.8766
Au 0.3430 0.9000 0.3430
Au 0.9000 0.3430 0.3430

Calculated values
Formation enthalpy at 0 K   -0.1419 eV per atom
Magnetization   0.0 μB/f.u.
Electronic total energy   -3.398 eV per atom
Crystal system   trigonal



26.
A relaxed structure of Ca2BeCuAu, computed with PBE.

abc: 5.4318 4.2093 5.4318
angles: 90.00 90.00 90.00
Positions (direct):
Ca 0.0000 0.0000 0.5000
Au 0.0000 0.5000 0.0000
Cu 0.5000 0.5000 0.5000
Ca 0.5000 0.0000 0.0000
Be 0.0000 0.0000 0.0000

Calculated values
Formation enthalpy at 0 K   0.0647 eV per atom
Magnetization   0.0 μB/f.u.
Electronic total energy   -2.956 eV per atom
Crystal system   tetragonal